Version one
The following is a PBE calculation of an optimized crystal structure of ZnOs2Br, from Alexandria.

## Properties
As for the density of states at the Fermi level: 1.69 states/eV/cell. For the volume, the calculation gives 17.44 Å³/atom.

abc: 2.933 2.933 8.108
angles: 90.00 90.00 90.00
Sites, in units of the cell vectors:
Zn  0.000  0.000  0.000
Os  0.000  0.000  0.591
Os  0.500  0.500  0.789
Br  0.500  0.500  0.349



Version two
The following is a PBE calculation of an optimized crystal structure of ZnOs2Br, from Alexandria.

## Properties
As for the density of states at the Fermi level: 9.77 states/eV/cell. For the volume, the calculation gives 21.18 Å³/atom.

abc: 6.508 6.508 6.508
angles: 127.20 127.20 77.92
Sites, in units of the cell vectors:
Zn  0.000  0.000  0.000
Zn  0.750  0.250  0.500
Os  0.140  0.625  0.015
Os  0.375  0.390  0.515
Os  0.610  0.125  0.985
Os  0.875  0.860  0.485
Br  0.250  0.750  0.500
Br  0.500  0.500  0.000



Version three
The following is a PBE calculation of an optimized crystal structure of ZnOs2Br, from Alexandria.

## Properties
As for the density of states at the Fermi level: 3.27 states/eV/cell. For the volume, the calculation gives 16.72 Å³/atom.

abc: 2.916 4.430 5.261
angles: 90.00 100.22 90.00
Sites, in units of the cell vectors:
Zn  0.000  0.000  0.000
Os  0.345  0.500  0.209
Os  0.655  0.500  0.791
Br  0.500  0.000  0.500



Which of them is the least stable? Correct choice: version two.



Version one
The following is a PBE calculation of an optimized crystal structure of ZrOsBr, from Alexandria.

## Properties
As for the density of states at the Fermi level: 2.95 states/eV/cell. For the volume, the calculation gives 22.39 Å³/atom.

abc: 4.563 4.563 4.563
angles: 60.00 60.00 60.00
Sites, in units of the cell vectors:
Zr  0.000  0.000  0.000
Os  0.750  0.750  0.750
Br  0.250  0.250  0.250



Version two
The following is a PBE calculation of an optimized crystal structure of ZrOsBr, from Alexandria.

## Properties
As for the density of states at the Fermi level: 0.68 states/eV/cell. For the volume, the calculation gives 22.34 Å³/atom.

abc: 3.403 3.403 6.684
angles: 90.00 90.00 120.00
Sites, in units of the cell vectors:
Zr  0.000  0.000  0.000
Os  0.333  0.667  0.745
Br  0.667  0.333  0.312



Version three
The following is a PBE calculation of an optimized crystal structure of ZrOsBr, from Alexandria.

## Properties
As for the density of states at the Fermi level: 2.23 states/eV/cell. For the volume, the calculation gives 21.35 Å³/atom.

abc: 4.491 4.491 4.491
angles: 60.00 60.00 60.00
Sites, in units of the cell vectors:
Zr  0.000  0.000  0.000
Os  0.250  0.250  0.250
Br  0.500  0.500  0.500



Which of them is the least stable? Correct choice: version one.



Version one
The following is a PBE calculation of an optimized crystal structure of ZrOsBr, from Alexandria.

## Properties
As for the density of states at the Fermi level: 0.86 states/eV/cell. For the volume, the calculation gives 20.78 Å³/atom.

abc: 6.477 6.435 3.214
angles: 76.32 74.86 28.82
Sites, in units of the cell vectors:
Zr  0.000  0.000  0.000
Os  0.624  0.624  0.376
Br  0.328  0.328  0.672



Version two
The following is a PBE calculation of an optimized crystal structure of ZrOsBr, from Alexandria.

## Properties
As for the density of states at the Fermi level: 1.51 states/eV/cell. For the volume, the calculation gives 18.06 Å³/atom.

abc: 4.443 4.443 3.169
angles: 90.00 90.00 120.00
Sites, in units of the cell vectors:
Zr  0.000  0.000  0.000
Os  0.333  0.667  0.500
Br  0.667  0.333  0.500



Which of them is the least stable? Correct choice: version two.



Version one
The following is a PBE calculation of an optimized crystal structure of P5Br, from Alexandria.

## Properties
As for the density of states at the Fermi level: 1.36 states/eV/cell. For the volume, the calculation gives 19.25 Å³/atom.

abc: 3.567 3.567 10.873
angles: 99.88 99.88 58.35
Sites, in units of the cell vectors:
P  0.000  0.000  0.000
P  0.109  0.109  0.381
P  0.353  0.353  0.110
P  0.505  0.505  0.499
P  0.769  0.769  0.254
Br  0.748  0.748  0.684



Version two
The following is a PBE calculation of an optimized crystal structure of P5Br, from Alexandria.

## Properties
As for the density of states at the Fermi level: 3.21 states/eV/cell. For the volume, the calculation gives 24.02 Å³/atom.

abc: 5.885 5.885 5.885
angles: 60.00 60.00 60.00
Sites, in units of the cell vectors:
P  0.000  0.000  0.000
P  0.217  0.594  0.594
P  0.594  0.217  0.594
P  0.594  0.594  0.217
P  0.594  0.594  0.594
Br  0.250  0.250  0.250



Which of them is the least stable? Correct choice: version two.



Version one
The following is a PBE calculation of an optimized crystal structure of P3Br, from Alexandria.

## Properties
As for the density of states at the Fermi level: 2.90 states/eV/cell. For the volume, the calculation gives 17.17 Å³/atom.

abc: 4.597 4.597 4.597
angles: 60.00 60.00 60.00
Sites, in units of the cell vectors:
P  0.000  0.000  0.000
P  0.250  0.250  0.250
P  0.750  0.750  0.750
Br  0.500  0.500  0.500



Version two
The following is a PBE calculation of an optimized crystal structure of P3Br, from Alexandria.

## Properties
As for the density of states at the Fermi level: 2.05 states/eV/cell. For the volume, the calculation gives 24.46 Å³/atom.

abc: 4.878 4.878 7.762
angles: 115.89 115.89 36.63
Sites, in units of the cell vectors:
P  0.000  0.000  0.000
P  0.299  0.299  0.924
P  0.701  0.701  0.076
Br  0.500  0.500  0.500



Which of them is the least stable? Correct choice: version one.



Version one
The following is a PBE calculation of an optimized crystal structure of P3Br, from Alexandria.

## Properties
As for the density of states at the Fermi level: 1.15 states/eV/cell. For the volume, the calculation gives 21.72 Å³/atom.

abc: 3.523 3.523 7.000
angles: 90.00 90.00 90.00
Sites, in units of the cell vectors:
P  0.000  0.000  0.000
P  0.000  0.500  0.754
P  0.500  0.000  0.754
Br  0.500  0.500  0.226



Version two
The following is a PBE calculation of an optimized crystal structure of P3Br, from Alexandria.

## Properties
As for the density of states at the Fermi level: 2.90 states/eV/cell. For the volume, the calculation gives 17.19 Å³/atom.

abc: 4.596 4.596 3.254
angles: 90.00 90.00 90.00
Sites, in units of the cell vectors:
P  0.000  0.000  0.000
P  0.000  0.500  0.500
P  0.500  0.000  0.500
Br  0.500  0.500  0.000



Version three
The following is a PBE calculation of an optimized crystal structure of P3Br, from Alexandria.

## Properties
As for the density of states at the Fermi level: 1.95 states/eV/cell. For the volume, the calculation gives 24.51 Å³/atom.

abc: 5.548 5.548 5.548
angles: 139.74 80.44 113.77
Sites, in units of the cell vectors:
P  0.000  0.000  0.000
P  0.015  0.383  0.632
P  0.751  0.383  0.368
Br  0.481  0.981  0.500



Version four
The following is a PBE calculation of an optimized crystal structure of P3Br, from Alexandria.

## Properties
As for the density of states at the Fermi level: 7.45 states/eV/cell. For the volume, the calculation gives 23.13 Å³/atom.

abc: 6.799 6.799 4.623
angles: 90.00 90.00 120.00
Sites, in units of the cell vectors:
P  0.111  0.223  0.250
P  0.111  0.889  0.250
P  0.223  0.111  0.750
P  0.777  0.889  0.250
P  0.889  0.111  0.750
P  0.889  0.777  0.750
Br  0.333  0.667  0.750
Br  0.667  0.333  0.250



Which of them is the least stable? Correct choice: version two.



Version one
The following is a PBE calculation of an optimized crystal structure of P3Br, from Alexandria.

## Properties
As for the density of states at the Fermi level: 3.00 states/eV/cell. For the volume, the calculation gives 18.51 Å³/atom.

abc: 4.582 4.582 4.582
angles: 109.47 109.47 109.47
Sites, in units of the cell vectors:
P  0.000  0.500  0.500
P  0.500  0.000  0.500
P  0.500  0.500  0.000
Br  0.000  0.000  0.000



Version two
The following is a PBE calculation of an optimized crystal structure of P3Br, from Alexandria.

## Properties
As for the density of states at the Fermi level: 1.39 states/eV/cell. For the volume, the calculation gives 21.86 Å³/atom.

abc: 3.890 3.890 7.387
angles: 90.00 90.00 128.54
Sites, in units of the cell vectors:
P  0.000  0.000  0.000
P  0.500  0.500  0.203
P  0.500  0.500  0.797
Br  0.000  0.000  0.500



Which of them is the least stable? Correct choice: version one.



Version one
The following is a PBE calculation of an optimized crystal structure of P3Br, from Alexandria.

## Properties
As for the density of states at the Fermi level: 1.67 states/eV/cell. For the volume, the calculation gives 20.26 Å³/atom.

abc: 4.584 3.472 5.305
angles: 90.00 106.32 90.00
Sites, in units of the cell vectors:
P  0.000  0.000  0.000
P  0.378  0.500  0.141
P  0.622  0.500  0.859
Br  0.000  0.000  0.500



Version two
The following is a PBE calculation of an optimized crystal structure of P3Br, from Alexandria.

## Properties
As for the density of states at the Fermi level: 2.28 states/eV/cell. For the volume, the calculation gives 19.66 Å³/atom.

abc: 4.644 4.644 4.088
angles: 90.00 90.00 116.89
Sites, in units of the cell vectors:
P  0.000  0.000  0.000
P  0.000  0.500  0.500
P  0.500  0.000  0.500
Br  0.500  0.500  0.000



Version three
The following is a PBE calculation of an optimized crystal structure of P3Br, from Alexandria.

## Properties
As for the density of states at the Fermi level: 6.34 states/eV/cell. For the volume, the calculation gives 19.44 Å³/atom.

abc: 7.174 7.174 6.977
angles: 90.00 90.00 120.00
Sites, in units of the cell vectors:
P  0.000  0.500  0.000
P  0.000  0.500  0.500
P  0.215  0.431  0.250
P  0.215  0.785  0.250
P  0.431  0.215  0.750
P  0.500  0.000  0.000
P  0.500  0.000  0.500
P  0.500  0.500  0.000
P  0.500  0.500  0.500
P  0.569  0.785  0.250
P  0.785  0.215  0.750
P  0.785  0.569  0.750
Br  0.000  0.000  0.000
Br  0.000  0.000  0.500
Br  0.333  0.667  0.750
Br  0.667  0.333  0.250



Version four
The following is a PBE calculation of an optimized crystal structure of P3Br, from Alexandria.

## Properties
As for the density of states at the Fermi level: 2.71 states/eV/cell. For the volume, the calculation gives 18.27 Å³/atom.

abc: 7.013 7.013 7.013
angles: 29.30 29.30 29.30
Sites, in units of the cell vectors:
P  0.000  0.000  0.000
P  0.269  0.269  0.269
P  0.731  0.731  0.731
Br  0.500  0.500  0.500



Which of them is the least stable? Correct choice: version two.



Version one
The following is a PBE calculation of an optimized crystal structure of P3Br, from Alexandria.

## Properties
As for the density of states at the Fermi level: 5.05 states/eV/cell. For the volume, the calculation gives 30.47 Å³/atom.

abc: 4.958 4.958 4.958
angles: 90.00 90.00 90.00
Sites, in units of the cell vectors:
P  0.000  0.000  0.500
P  0.000  0.500  0.000
P  0.500  0.000  0.000
Br  0.000  0.000  0.000



Version two
The following is a PBE calculation of an optimized crystal structure of P3Br, from Alexandria.

## Properties
As for the density of states at the Fermi level: 4.51 states/eV/cell. For the volume, the calculation gives 17.36 Å³/atom.

abc: 4.110 4.110 4.110
angles: 90.00 90.00 90.00
Sites, in units of the cell vectors:
P  0.000  0.000  0.500
P  0.000  0.500  0.000
P  0.500  0.000  0.000
Br  0.500  0.500  0.500



Version three
The following is a PBE calculation of an optimized crystal structure of P3Br, from Alexandria.

## Properties
As for the density of states at the Fermi level: 1.95 states/eV/cell. For the volume, the calculation gives 18.71 Å³/atom.

abc: 5.525 5.525 5.525
angles: 146.48 125.57 65.45
Sites, in units of the cell vectors:
P  0.000  0.000  0.000
P  0.185  0.685  0.500
P  0.815  0.315  0.500
Br  0.500  0.500  0.000



Version four
The following is a PBE calculation of an optimized crystal structure of P3Br, from Alexandria.

## Properties
As for the density of states at the Fermi level: 1.50 states/eV/cell. For the volume, the calculation gives 31.75 Å³/atom.

abc: 10.614 10.614 2.935
angles: 90.00 90.00 129.80
Sites, in units of the cell vectors:
P  0.066  0.695  0.250
P  0.111  0.889  0.750
P  0.305  0.934  0.250
P  0.695  0.066  0.750
P  0.889  0.111  0.250
P  0.934  0.305  0.750
Br  0.359  0.641  0.750
Br  0.641  0.359  0.250



Which of them is the least stable? Correct choice: version one.